# PBE-GGA CaFe2B, relaxed
data_CaFe2B
_chemical_formula_sum 'Ca2 Fe4 B2'
_cell_length_a 4.265
_cell_length_b 4.265
_cell_length_c 7.722
_cell_angle_alpha 73.97
_cell_angle_beta 73.97
_cell_angle_gamma 90.00
_space_group_name_H-M_alt 'P 1'
_space_group_IT_number 1
loop_
_space_group_symop_operation_xyz
'x,y,z'
loop_
_atom_site_label
_atom_site_type_symbol
_atom_site_fract_x
_atom_site_fract_y
_atom_site_fract_z
B1 B 0.250 0.750 0.500
Fe1 Fe 0.381 0.125 0.250
Fe2 Fe 0.875 0.631 0.750
Fe3 Fe 0.369 0.625 0.250
Ca1 Ca 0.000 0.000 0.000
Ca2 Ca 0.750 0.250 0.500
Fe4 Fe 0.375 0.619 0.750
B2 B 0.500 0.500 0.000
# SG	No. 122
# formation energy from the elements	0.479	eV per atom
# final energy	-5.92	eV per atom
# crystal system	tetragonal

---

# PBE-GGA Rb2CoTeBr6, relaxed
data_Rb2CoTeBr6
_chemical_formula_sum 'Rb2 Co1 Te1 Br6'
_cell_length_a 7.804
_cell_length_b 7.804
_cell_length_c 7.755
_cell_angle_alpha 59.79
_cell_angle_beta 59.79
_cell_angle_gamma 90.00
_space_group_name_H-M_alt 'P 1'
_space_group_IT_number 1
loop_
_space_group_symop_operation_xyz
'x,y,z'
loop_
_atom_site_label
_atom_site_type_symbol
_atom_site_fract_x
_atom_site_fract_y
_atom_site_fract_z
Te1 Te 0.000 0.000 0.000
Br1 Br 0.271 0.271 0.000
Br2 Br 0.729 0.271 0.000
Br3 Br 0.729 0.729 0.000
Br4 Br 0.738 0.738 0.524
Rb1 Rb 0.250 0.750 0.500
Co1 Co 0.500 0.500 0.000
Br5 Br 0.271 0.729 0.000
Br6 Br 0.262 0.262 0.476
Rb2 Rb 0.750 0.250 0.500
# SG	No. 139
# final energy	-2.99	eV per atom
# formation energy without anion corrections	-0.77	eV per atom
# crystal system	tetragonal

---

# PBE-GGA Na4Tm3GaO8, relaxed
data_Na4Tm3GaO8
_chemical_formula_sum 'Na4 Tm3 Ga1 O8'
_cell_length_a 6.569
_cell_length_b 6.720
_cell_length_c 6.569
_cell_angle_alpha 119.27
_cell_angle_beta 120.00
_cell_angle_gamma 90.00
_space_group_name_H-M_alt 'P 1'
_space_group_IT_number 1
loop_
_space_group_symop_operation_xyz
'x,y,z'
loop_
_atom_site_label
_atom_site_type_symbol
_atom_site_fract_x
_atom_site_fract_y
_atom_site_fract_z
Tm1 Tm 0.500 0.500 0.500
O1 O 0.264 0.291 0.527
O2 O 0.228 0.707 0.979
Na1 Na 0.000 0.000 0.500
O3 O 0.772 0.293 0.544
O4 O 0.249 0.293 0.021
O5 O 0.751 0.707 0.979
O6 O 0.772 0.293 0.021
Na2 Na 0.500 0.000 0.500
Ga1 Ga 0.000 0.500 0.000
O7 O 0.228 0.707 0.456
Tm2 Tm 0.500 0.500 0.000
Tm3 Tm 0.000 0.500 0.500
O8 O 0.736 0.709 0.473
Na3 Na 0.500 0.000 0.000
Na4 Na 0.000 0.000 0.000
# SG	No. 166
# final energy	-6.39	eV per atom
# formation energy without anion corrections	-2.55	eV per atom
# crystal system	trigonal

---

# PBE-GGA InHgRu2, relaxed
data_InHgRu2
_chemical_formula_sum 'In1 Hg1 Ru2'
_cell_length_a 5.005
_cell_length_b 5.005
_cell_length_c 5.005
_cell_angle_alpha 131.63
_cell_angle_beta 131.63
_cell_angle_gamma 70.82
_space_group_name_H-M_alt 'P 1'
_space_group_IT_number 1
loop_
_space_group_symop_operation_xyz
'x,y,z'
loop_
_atom_site_label
_atom_site_type_symbol
_atom_site_fract_x
_atom_site_fract_y
_atom_site_fract_z
Hg1 Hg 0.500 0.500 0.000
In1 In 0.750 0.250 0.500
Ru1 Ru 0.000 0.000 0.000
Ru2 Ru 0.250 0.750 0.500
# SG	No. 119
# formation energy from the elements	0.479	eV per atom
# final energy	-4.92	eV per atom
# energy above the most stable polymorph in this dataset	251.9	meV per atom
# crystal system	tetragonal

---

# PBE-GGA ScNi2Os, relaxed
data_ScNi2Os
_chemical_formula_sum 'Sc1 Ni2 Os1'
_cell_length_a 6.041
_cell_length_b 4.600
_cell_length_c 2.696
_cell_angle_alpha 89.99
_cell_angle_beta 63.50
_cell_angle_gamma 121.73
_space_group_name_H-M_alt 'P 1'
_space_group_IT_number 1
loop_
_space_group_symop_operation_xyz
'x,y,z'
loop_
_atom_site_label
_atom_site_type_symbol
_atom_site_fract_x
_atom_site_fract_y
_atom_site_fract_z
Ni1 Ni 0.500 0.000 0.500
Sc1 Sc 0.500 0.500 0.000
Os1 Os 0.000 0.500 0.500
Ni2 Ni 0.000 0.000 0.000
# SG	No. 65
# formation energy from the elements	-0.158	eV per atom
# final energy	-7.44	eV per atom
# energy above the most stable polymorph in this dataset	0.0	meV per atom
# crystal system	orthorhombic

---

# PBE-GGA YHo2BiC, relaxed
data_YHo2BiC
_chemical_formula_sum 'Y1 Ho2 Bi1 C1'
_cell_length_a 4.936
_cell_length_b 4.899
_cell_length_c 4.899
_cell_angle_alpha 90.00
_cell_angle_beta 90.00
_cell_angle_gamma 90.00
_space_group_name_H-M_alt 'P 1'
_space_group_IT_number 1
loop_
_space_group_symop_operation_xyz
'x,y,z'
loop_
_atom_site_label
_atom_site_type_symbol
_atom_site_fract_x
_atom_site_fract_y
_atom_site_fract_z
Bi1 Bi 0.500 0.500 0.500
Y1 Y 0.500 0.000 0.000
Ho1 Ho 0.000 0.500 0.000
Ho2 Ho 0.000 0.000 0.500
C1 C 0.000 0.000 0.000
# SG	No. 123
# formation energy from the elements	-0.544	eV per atom
# final energy	-6.29	eV per atom
# crystal system	tetragonal

---

# PBE-GGA AcFeNiGe2, relaxed
data_AcFeNiGe2
_chemical_formula_sum 'Ac1 Fe1 Ni1 Ge2'
_cell_length_a 4.284
_cell_length_b 4.284
_cell_length_c 5.983
_cell_angle_alpha 110.98
_cell_angle_beta 110.98
_cell_angle_gamma 90.00
_space_group_name_H-M_alt 'P 1'
_space_group_IT_number 1
loop_
_space_group_symop_operation_xyz
'x,y,z'
loop_
_atom_site_label
_atom_site_type_symbol
_atom_site_fract_x
_atom_site_fract_y
_atom_site_fract_z
Ge1 Ge 0.359 0.359 0.717
Ac1 Ac 0.000 0.000 0.000
Ge2 Ge 0.641 0.641 0.283
Fe1 Fe 0.750 0.250 0.500
Ni1 Ni 0.250 0.750 0.500
# SG	No. 119
# formation energy from the elements	-0.500	eV per atom
# final energy	-6.02	eV per atom
# crystal system	tetragonal

---

# PBE-GGA HoTlInPd, relaxed
data_HoTlInPd
_chemical_formula_sum 'Ho1 Tl1 In1 Pd1'
_cell_length_a 5.032
_cell_length_b 5.032
_cell_length_c 5.032
_cell_angle_alpha 60.00
_cell_angle_beta 60.00
_cell_angle_gamma 60.00
_space_group_name_H-M_alt 'P 1'
_space_group_IT_number 1
loop_
_space_group_symop_operation_xyz
'x,y,z'
loop_
_atom_site_label
_atom_site_type_symbol
_atom_site_fract_x
_atom_site_fract_y
_atom_site_fract_z
Pd1 Pd 0.500 0.500 0.500
In1 In 0.250 0.250 0.250
Ho1 Ho 0.750 0.750 0.750
Tl1 Tl 0.000 0.000 0.000
# SG	No. 216
# formation energy from the elements	-0.416	eV per atom
# final energy	-4.14	eV per atom
# crystal system	cubic

---

# PBE-GGA K3Sb5Au2, relaxed
data_K3Sb5Au2
_chemical_formula_sum 'K6 Sb10 Au4'
_cell_length_a 7.719
_cell_length_b 10.382
_cell_length_c 10.382
_cell_angle_alpha 62.84
_cell_angle_beta 68.18
_cell_angle_gamma 68.18
_space_group_name_H-M_alt 'P 1'
_space_group_IT_number 1
loop_
_space_group_symop_operation_xyz
'x,y,z'
loop_
_atom_site_label
_atom_site_type_symbol
_atom_site_fract_x
_atom_site_fract_y
_atom_site_fract_z
K1 K 0.857 0.873 0.413
Sb1 Sb 0.871 0.524 0.734
K2 K 0.143 0.127 0.587
Sb2 Sb 0.475 0.775 0.775
Sb3 Sb 0.129 0.476 0.266
Au1 Au 0.348 0.004 0.300
Au2 Au 0.652 0.996 0.700
Sb4 Sb 0.025 0.225 0.225
Sb5 Sb 0.525 0.225 0.225
Au3 Au 0.152 0.700 0.996
Au4 Au 0.848 0.300 0.004
K3 K 0.750 0.000 0.000
Sb6 Sb 0.975 0.775 0.775
Sb7 Sb 0.750 0.500 0.500
K4 K 0.643 0.587 0.127
Sb8 Sb 0.371 0.734 0.524
K5 K 0.250 0.000 0.000
Sb9 Sb 0.629 0.266 0.476
Sb10 Sb 0.250 0.500 0.500
K6 K 0.357 0.413 0.873
# SG	No. 72
# final energy	-3.28	eV per atom
# formation energy without anion corrections	-0.24	eV per atom
# crystal system	orthorhombic

---

# PBE-GGA LaNd2O, relaxed
data_LaNd2O
_chemical_formula_sum 'La1 Nd2 O1'
_cell_length_a 3.637
_cell_length_b 3.637
_cell_length_c 9.948
_cell_angle_alpha 79.47
_cell_angle_beta 79.47
_cell_angle_gamma 60.00
_space_group_name_H-M_alt 'P 1'
_space_group_IT_number 1
loop_
_space_group_symop_operation_xyz
'x,y,z'
loop_
_atom_site_label
_atom_site_type_symbol
_atom_site_fract_x
_atom_site_fract_y
_atom_site_fract_z
Nd1 Nd 0.880 0.880 0.359
La1 La 0.000 0.000 0.000
O1 O 0.500 0.500 0.500
Nd2 Nd 0.120 0.120 0.641
# SG	No. 166
# final energy	-6.01	eV per atom
# formation energy without anion corrections	-1.16	eV per atom
# energy above the most stable polymorph in this dataset	0.0	meV per atom
# crystal system	trigonal

---

# PBE-GGA TlGaPb6, relaxed
data_TlGaPb6
_chemical_formula_sum 'Tl1 Ga1 Pb6'
_cell_length_a 4.948
_cell_length_b 4.948
_cell_length_c 9.869
_cell_angle_alpha 90.00
_cell_angle_beta 90.00
_cell_angle_gamma 90.00
_space_group_name_H-M_alt 'P 1'
_space_group_IT_number 1
loop_
_space_group_symop_operation_xyz
'x,y,z'
loop_
_atom_site_label
_atom_site_type_symbol
_atom_site_fract_x
_atom_site_fract_y
_atom_site_fract_z
Ga1 Ga 0.000 0.000 0.500
Pb1 Pb 0.500 0.500 0.000
Tl1 Tl 0.000 0.000 0.000
Pb2 Pb 0.500 0.500 0.500
Pb3 Pb 0.000 0.500 0.259
Pb4 Pb 0.500 0.000 0.259
Pb5 Pb 0.000 0.500 0.741
Pb6 Pb 0.500 0.000 0.741
# SG	No. 123
# formation energy from the elements	0.028	eV per atom
# final energy	-3.43	eV per atom
# energy above the most stable polymorph in this dataset	0.0	meV per atom
# crystal system	tetragonal

---

# PBE-GGA KNaCr2, relaxed
data_KNaCr2
_chemical_formula_sum 'K1 Na1 Cr2'
_cell_length_a 5.612
_cell_length_b 5.612
_cell_length_c 5.612
_cell_angle_alpha 60.00
_cell_angle_beta 60.00
_cell_angle_gamma 60.00
_space_group_name_H-M_alt 'P 1'
_space_group_IT_number 1
loop_
_space_group_symop_operation_xyz
'x,y,z'
loop_
_atom_site_label
_atom_site_type_symbol
_atom_site_fract_x
_atom_site_fract_y
_atom_site_fract_z
K1 K 0.500 0.500 0.500
Na1 Na 0.000 0.000 0.000
Cr1 Cr 0.250 0.250 0.250
Cr2 Cr 0.750 0.750 0.750
# SG	No. 225
# formation energy from the elements	1.233	eV per atom
# final energy	-4.18	eV per atom
# energy above the most stable polymorph in this dataset	0.0	meV per atom
# crystal system	cubic

---

# PBE-GGA Rb2RhBrCl6, relaxed
data_Rb2RhBrCl6
_chemical_formula_sum 'Rb2 Rh1 Br1 Cl6'
_cell_length_a 7.370
_cell_length_b 7.370
_cell_length_c 7.681
_cell_angle_alpha 61.33
_cell_angle_beta 61.33
_cell_angle_gamma 90.00
_space_group_name_H-M_alt 'P 1'
_space_group_IT_number 1
loop_
_space_group_symop_operation_xyz
'x,y,z'
loop_
_atom_site_label
_atom_site_type_symbol
_atom_site_fract_x
_atom_site_fract_y
_atom_site_fract_z
Cl1 Cl 0.772 0.772 0.000
Rh1 Rh 0.000 0.000 0.000
Rb1 Rb 0.250 0.750 0.500
Cl2 Cl 0.228 0.228 0.000
Cl3 Cl 0.228 0.772 0.000
Cl4 Cl 0.792 0.792 0.415
Br1 Br 0.500 0.500 0.000
Rb2 Rb 0.750 0.250 0.500
Cl5 Cl 0.772 0.228 0.000
Cl6 Cl 0.208 0.208 0.585
# SG	No. 139
# final energy	-3.14	eV per atom
# formation energy without anion corrections	-0.94	eV per atom
# crystal system	tetragonal

---

# PBE-GGA NaAcGe2, relaxed
data_NaAcGe2
_chemical_formula_sum 'Na1 Ac1 Ge2'
_cell_length_a 4.532
_cell_length_b 4.797
_cell_length_c 4.797
_cell_angle_alpha 90.00
_cell_angle_beta 90.00
_cell_angle_gamma 90.00
_space_group_name_H-M_alt 'P 1'
_space_group_IT_number 1
loop_
_space_group_symop_operation_xyz
'x,y,z'
loop_
_atom_site_label
_atom_site_type_symbol
_atom_site_fract_x
_atom_site_fract_y
_atom_site_fract_z
Ac1 Ac 0.500 0.500 0.500
Ge1 Ge 0.000 0.500 0.000
Ge2 Ge 0.000 0.000 0.500
Na1 Na 0.500 0.000 0.000
# SG	No. 123
# formation energy from the elements	-0.297	eV per atom
# final energy	-3.96	eV per atom
# crystal system	tetragonal

---

# PBE-GGA ZrBi, relaxed
data_ZrBi
_chemical_formula_sum 'Zr6 Bi6'
_cell_length_a 3.247
_cell_length_b 7.658
_cell_length_c 13.603
_cell_angle_alpha 90.00
_cell_angle_beta 90.00
_cell_angle_gamma 90.00
_space_group_name_H-M_alt 'P 1'
_space_group_IT_number 1
loop_
_space_group_symop_operation_xyz
'x,y,z'
loop_
_atom_site_label
_atom_site_type_symbol
_atom_site_fract_x
_atom_site_fract_y
_atom_site_fract_z
Zr1 Zr 0.500 0.013 0.119
Bi1 Bi 0.000 0.645 0.500
Zr2 Zr 0.000 0.987 0.619
Bi2 Bi 0.500 0.287 0.277
Bi3 Bi 0.000 0.713 0.777
Zr3 Zr 0.500 0.291 0.500
Zr4 Zr 0.000 0.987 0.381
Zr5 Zr 0.500 0.013 0.881
Bi4 Bi 0.000 0.713 0.223
Bi5 Bi 0.500 0.287 0.723
Zr6 Zr 0.000 0.709 0.000
Bi6 Bi 0.500 0.355 0.000
# SG	No. 59
# formation energy from the elements	-0.062	eV per atom
# final energy	-6.28	eV per atom
# crystal system	orthorhombic

---

# PBE-GGA Nb2Ge3, relaxed
data_Nb2Ge3
_chemical_formula_sum 'Nb2 Ge3'
_cell_length_a 4.675
_cell_length_b 4.675
_cell_length_c 5.235
_cell_angle_alpha 63.48
_cell_angle_beta 63.48
_cell_angle_gamma 60.00
_space_group_name_H-M_alt 'P 1'
_space_group_IT_number 1
loop_
_space_group_symop_operation_xyz
'x,y,z'
loop_
_atom_site_label
_atom_site_type_symbol
_atom_site_fract_x
_atom_site_fract_y
_atom_site_fract_z
Nb1 Nb 0.392 0.392 0.825
Ge1 Ge 0.802 0.802 0.593
Ge2 Ge 0.000 0.000 0.000
Ge3 Ge 0.198 0.198 0.407
Nb2 Nb 0.608 0.608 0.175
# SG	No. 166
# formation energy from the elements	-0.129	eV per atom
# final energy	-6.93	eV per atom
# crystal system	trigonal

---

# PBE-GGA CuOs2Pt, relaxed
data_CuOs2Pt
_chemical_formula_sum 'Cu1 Os2 Pt1'
_cell_length_a 4.831
_cell_length_b 4.831
_cell_length_c 2.694
_cell_angle_alpha 90.00
_cell_angle_beta 90.00
_cell_angle_gamma 114.39
_space_group_name_H-M_alt 'P 1'
_space_group_IT_number 1
loop_
_space_group_symop_operation_xyz
'x,y,z'
loop_
_atom_site_label
_atom_site_type_symbol
_atom_site_fract_x
_atom_site_fract_y
_atom_site_fract_z
Cu1 Cu 0.000 0.500 0.500
Os1 Os 0.500 0.500 0.000
Pt1 Pt 0.500 0.000 0.500
Os2 Os 0.000 0.000 0.000
# SG	No. 65
# formation energy from the elements	0.400	eV per atom
# final energy	-7.75	eV per atom
# energy above the most stable polymorph in this dataset	312.2	meV per atom
# crystal system	orthorhombic